(1)
Compound: Tb2Ga3Hg3
Source: the Open Quantum Materials Database
Functional: PBE-GGA
Structure: optimized geometry

Output
Total DFT energy (no corrections), eV/atom: -2.795
Distance to the lowest polymorph of the same formula, meV per atom: 2.0
Spin magnetization, Bohr magnetons per cell: 0.0

a = 4.8114 Å, b = 6.5058 Å, c = 6.5058 Å
α = 59.82°, β = 90.00°, γ = 90.00°
Last column: nearest neighbours and their distance in Å.
Fractional positions:
Ga: 0.5000 0.3099 0.8546  3 Ga 2.95, 3 Hg 3.00-3.14, 3 Tb 3.12-3.14
Ga: 0.0000 0.1571 0.1571  4 Ga 2.95, 2 Hg 3.08, 4 Tb 3.09-3.24
Ga: 0.5000 0.8546 0.3099  3 Ga 2.95, 3 Hg 3.00-3.14, 3 Tb 3.12-3.14
Hg: 0.0000 0.1728 0.6761  3 Ga 3.00-3.08, 4 Hg 3.06-3.27, 4 Tb 3.10-3.35
Hg: 0.0000 0.6761 0.1728  3 Ga 3.00-3.08, 4 Hg 3.06-3.27, 4 Tb 3.10-3.35
Hg: 0.5000 0.8370 0.8370  4 Hg 3.06, 4 Tb 3.10-3.25, 4 Ga 3.14-3.37
Tb: 0.5000 0.3283 0.3283  6 Ga 3.09-3.36, 6 Hg 3.10-3.25
Tb: 0.0000 0.6642 0.6642  6 Hg 3.10-3.35, 6 Ga 3.12-3.24

---

(2)
Compound: Tb2GaHg5
Source: the Open Quantum Materials Database
Functional: PBE-GGA
Structure: optimized geometry

Output
Total DFT energy (no corrections), eV/atom: -2.081
Spin magnetization, Bohr magnetons per cell: 0.0

a = 4.9758 Å, b = 6.6379 Å, c = 6.6379 Å
α = 59.34°, β = 90.00°, γ = 90.00°
Last column: nearest neighbours and their distance in Å.
Fractional positions:
Hg: 0.0000 0.8428 0.3291  2 Ga 3.08, 4 Tb 3.15-3.40, 6 Hg 3.15-3.38
Hg: 0.5000 0.6689 0.1675  6 Hg 3.13-3.29, 4 Tb 3.15-3.34, 2 Ga 3.24-3.40
Hg: 0.0000 0.8345 0.8345  8 Hg 3.13-3.33, 4 Tb 3.16-3.29
Hg: 0.0000 0.3291 0.8428  2 Ga 3.08, 4 Tb 3.15-3.40, 6 Hg 3.15-3.38
Hg: 0.5000 0.1675 0.6689  6 Hg 3.13-3.29, 4 Tb 3.15-3.34, 2 Ga 3.24-3.40
Tb: 0.5000 0.6662 0.6662  10 Hg 3.15-3.34, 2 Ga 3.29
Tb: 0.0000 0.3303 0.3303  10 Hg 3.15-3.40, 2 Ga 3.16
Ga: 0.5000 0.1607 0.1607  8 Hg 3.08-3.40, 4 Tb 3.16-3.29

---

(3)
Compound: Tb2Ga3Hg3
Source: the Open Quantum Materials Database
Functional: PBE-GGA
Structure: optimized geometry

Output
Total DFT energy (no corrections), eV/atom: -2.797
Distance to the lowest polymorph of the same formula, meV per atom: 0.0
Spin magnetization, Bohr magnetons per cell: 0.0

a = 6.4239 Å, b = 4.8091 Å, c = 6.5091 Å
α = 90.00°, β = 118.63°, γ = 90.00°
Last column: nearest neighbours and their distance in Å.
Fractional positions:
Tb: 0.3297 0.0000 0.6565  6 Hg 3.09-3.39, 6 Ga 3.09-3.32
Tb: 0.6631 0.5000 0.3385  6 Hg 3.10-3.32, 6 Ga 3.11-3.30
Hg: 0.8454 0.0000 0.1679  4 Ga 3.01-3.14, 2 Hg 3.08, 3 Tb 3.10-3.21
Hg: 0.6726 0.5000 0.8324  3 Ga 2.99-3.23, 4 Hg 3.08-3.30, 4 Tb 3.09-3.32
Hg: 0.1646 0.5000 0.8427  5 Ga 3.00-3.08, 4 Tb 3.10-3.32, 2 Hg 3.13-3.30
Ga: 0.3127 0.0000 0.1591  3 Ga 2.94-3.10, 3 Hg 3.01-3.03, 3 Tb 3.11-3.19
Ga: 0.8459 0.0000 0.6860  5 Hg 2.99-3.14, 1 Ga 3.10, 4 Tb 3.12-3.23
Ga: 0.1658 0.5000 0.3168  2 Ga 2.94, 4 Hg 3.01-3.23, 3 Tb 3.09-3.13

---

(4)
Compound: Tb2Ga3Hg3
Source: the Open Quantum Materials Database
Functional: PBE-GGA
Structure: optimized geometry

Output
Total DFT energy (no corrections), eV/atom: -2.794
Distance to the lowest polymorph of the same formula, meV per atom: 2.9
Spin magnetization, Bohr magnetons per cell: 0.0

a = 6.5433 Å, b = 6.5433 Å, c = 4.7587 Å
α = 90.00°, β = 90.00°, γ = 120.00°
Last column: nearest neighbours and their distance in Å.
Fractional positions:
Tb: 0.6667 0.3333 0.5000  6 Hg 3.07, 6 Ga 3.28
Tb: 0.3333 0.6667 0.0000  6 Ga 3.14, 6 Hg 3.27
Ga: 0.6959 0.8480 0.5000  4 Hg 2.97, 2 Ga 2.98, 4 Tb 3.14-3.28
Ga: 0.1520 0.3041 0.5000  4 Hg 2.97, 2 Ga 2.98, 4 Tb 3.14-3.28
Ga: 0.1520 0.8480 0.5000  4 Hg 2.97, 2 Ga 2.98, 4 Tb 3.14-3.28
Hg: 0.8381 0.6762 0.0000  4 Ga 2.97, 4 Tb 3.07-3.27, 2 Hg 3.18
Hg: 0.3238 0.1619 0.0000  4 Ga 2.97, 4 Tb 3.07-3.27, 2 Hg 3.18
Hg: 0.8381 0.1619 0.0000  4 Ga 2.97, 4 Tb 3.07-3.27, 2 Hg 3.18

---

(5)
Compound: TbGaHg2
Source: the Open Quantum Materials Database
Functional: PBE-GGA
Structure: optimized geometry

Output
Total DFT energy (no corrections), eV/atom: -2.435
Spin magnetization, Bohr magnetons per cell: 0.0

a = 6.6036 Å, b = 6.6036 Å, c = 4.8958 Å
α = 90.00°, β = 90.00°, γ = 121.44°
Last column: nearest neighbours and their distance in Å.
Fractional positions:
Ga: 0.3393 0.6607 0.2500  8 Hg 3.04-3.37, 4 Tb 3.13-3.23
Ga: 0.6607 0.3393 0.7500  8 Hg 3.04-3.37, 4 Tb 3.13-3.23
Hg: 0.1716 0.3402 0.7500  4 Ga 3.04-3.37, 4 Tb 3.12-3.37, 4 Hg 3.12-3.31
Hg: 0.8284 0.6598 0.2500  4 Ga 3.04-3.37, 4 Tb 3.12-3.37, 4 Hg 3.12-3.31
Hg: 0.3402 0.1716 0.2500  4 Ga 3.04-3.37, 4 Tb 3.12-3.37, 4 Hg 3.12-3.31
Hg: 0.6598 0.8284 0.7500  4 Ga 3.04-3.37, 4 Tb 3.12-3.37, 4 Hg 3.12-3.31
Tb: 0.1707 0.8293 0.7500  8 Hg 3.12-3.37, 4 Ga 3.13-3.23
Tb: 0.8293 0.1707 0.2500  8 Hg 3.12-3.37, 4 Ga 3.13-3.23

---

(6)
Compound: TbGaHg2
Source: the Open Quantum Materials Database
Functional: PBE-GGA
Structure: optimized geometry

Output
Total DFT energy (no corrections), eV/atom: -2.432
Spin magnetization, Bohr magnetons per cell: 0.0

a = 4.8879 Å, b = 6.5354 Å, c = 6.5354 Å
α = 60.93°, β = 90.00°, γ = 90.00°
Last column: nearest neighbours and their distance in Å.
Fractional positions:
Hg: 0.0000 0.6739 0.1698  2 Ga 3.03, 6 Hg 3.11-3.36, 4 Tb 3.12-3.35
Hg: 0.5000 0.8334 0.8334  4 Tb 3.11-3.31, 4 Hg 3.11, 4 Ga 3.20-3.34
Hg: 0.0000 0.1634 0.1634  4 Ga 3.05, 4 Tb 3.11-3.31, 4 Hg 3.18-3.36
Hg: 0.0000 0.1698 0.6739  2 Ga 3.03, 6 Hg 3.11-3.36, 4 Tb 3.12-3.35
Ga: 0.5000 0.8451 0.3170  6 Hg 3.03-3.34, 1 Ga 3.13, 4 Tb 3.14-3.28
Ga: 0.5000 0.3170 0.8451  6 Hg 3.03-3.34, 1 Ga 3.13, 4 Tb 3.14-3.28
Tb: 0.0000 0.6628 0.6628  8 Hg 3.11-3.35, 4 Ga 3.14
Tb: 0.5000 0.3346 0.3346  8 Hg 3.11-3.31, 4 Ga 3.26-3.28

---

(7)
Compound: Tb2Ga5Hg
Source: the Open Quantum Materials Database
Functional: PBE-GGA
Structure: optimized geometry

Output
Total DFT energy (no corrections), eV/atom: -3.566
Spin magnetization, Bohr magnetons per cell: 0.0

a = 4.6104 Å, b = 6.3669 Å, c = 6.3669 Å
α = 60.94°, β = 90.00°, γ = 90.00°
Last column: nearest neighbours and their distance in Å.
Fractional positions:
Ga: 0.5000 0.2903 0.8514  4 Ga 2.79-2.84, 2 Hg 2.89, 3 Tb 3.10
Ga: 0.0000 0.1437 0.6965  5 Ga 2.82-2.89, 1 Hg 3.03, 2 Tb 3.04
Ga: 0.0000 0.6965 0.1437  5 Ga 2.82-2.89, 1 Hg 3.03, 2 Tb 3.04
Ga: 0.5000 0.8514 0.2903  4 Ga 2.79-2.84, 2 Hg 2.89, 3 Tb 3.10
Ga: 0.5000 0.8518 0.8518  6 Ga 2.79-2.82, 2 Tb 3.11
Hg: 0.0000 0.1626 0.1626  6 Ga 2.89-3.03, 4 Tb 3.03-3.23
Tb: 0.5000 0.3417 0.3417  2 Hg 3.03, 10 Ga 3.04-3.29
Tb: 0.0000 0.6620 0.6620  10 Ga 3.10-3.20, 2 Hg 3.23

---

(8)
Compound: TbGaHgTe3
Source: the Open Quantum Materials Database
Functional: PBE-GGA
Structure: optimized geometry

Output
Total DFT energy (no corrections), eV/atom: -3.591
Spin magnetization, Bohr magnetons per cell: 0.0

a = 8.6754 Å, b = 8.6754 Å, c = 11.7343 Å
α = 90.00°, β = 90.00°, γ = 151.45°
Last column: nearest neighbours and their distance in Å.
Fractional positions:
Te: 0.8734 0.1266 0.9392  1 Ga 2.63
Te: 0.4359 0.5641 0.2500  2 Ga 2.80, 2 Tb 3.13
Te: 0.8734 0.1266 0.5608  1 Ga 2.63
Te: 0.5641 0.4359 0.7500  2 Ga 2.80, 2 Tb 3.13
Te: 0.1266 0.8734 0.4392  1 Ga 2.63
Te: 0.1266 0.8734 0.0608  1 Ga 2.63
Tb: 0.5000 0.5000 0.5000  6 Te 3.10-3.13
Tb: 0.5000 0.5000 0.0000  6 Te 3.10-3.13
Hg: 0.7611 0.2389 0.2500  6 Te 3.63-3.82
Hg: 0.2389 0.7611 0.7500  6 Te 3.63-3.82
Ga: 0.0432 0.9568 0.2500  4 Te 2.63-2.80
Ga: 0.9568 0.0432 0.7500  4 Te 2.63-2.80